## Cu6Pd12Au (PBE-GGA)

Data for a relaxed structure of Cu6Pd12Au.

The value obtained for the calculated formation energy is 0.07 eV/atom.

The structure belongs to space group R-3m (No. 166, hexagonal axes); the cell edges are 10.7711, 10.7711 and 8.6945 Å and the angles 90.00°, 90.00° and 120.00°. The asymmetric unit holds Cu at (0.0843, 0.1687, 0.2497), Pd at (0.0000, 0.2637, 0.5000), Pd at (0.0776, 0.5388, 0.6167) and Au at (0.0000, 0.0000, 0.5000).

---

## TlSnPW2 (PBE-GGA)

Data for a relaxed structure of TlSnPW2.

The value obtained for the calculated formation energy is 1.14 eV/atom.

The structure belongs to space group P4/mmm (No. 123); the cell edges are 4.5703, 4.5703 and 5.2914 Å and the angles 90.00°, 90.00° and 90.00°. The asymmetric unit holds Tl at (0.0000, 0.0000, 0.0000), Sn at (0.5000, 0.5000, 0.0000), P at (0.5000, 0.5000, 0.5000) and W at (0.0000, 0.5000, 0.5000).

---

## CePuTcRu (PBE-GGA)

Data for a relaxed structure of CePuTcRu.

The value obtained for the calculated formation energy is -0.07 eV/atom.

The structure belongs to space group F-43m (No. 216); the cell edges are 6.8236, 6.8236 and 6.8236 Å and the angles 90.00°, 90.00° and 90.00°. The asymmetric unit holds Ce at (0.0000, 0.0000, 0.0000), Pu at (0.0000, 0.0000, 0.5000), Tc at (0.2500, 0.2500, 0.2500) and Ru at (0.2500, 0.2500, 0.7500).

---

## Mg2SiTeMo (PBE-GGA)

Data for a relaxed structure of Mg2SiTeMo.

For the raw formation energy, the calculation gives 379.8 meV/atom.

The structure belongs to space group P4/mmm (No. 123); the cell edges are 4.9278, 4.9278 and 4.7551 Å and the angles 90.00°, 90.00° and 90.00°. The asymmetric unit holds Mg at (0.0000, 0.5000, 0.0000), Si at (0.0000, 0.0000, 0.0000), Te at (0.5000, 0.5000, 0.5000) and Mo at (0.0000, 0.0000, 0.5000).

---

## PmEr2Hf (PBE-GGA)

Data for a relaxed structure of PmEr2Hf.

The value obtained for the calculated formation energy is 0.37 eV/atom.

The structure belongs to space group R-3m (No. 166, hexagonal axes); the cell edges are 3.3379, 3.3379 and 36.0745 Å and the angles 90.00°, 90.00° and 120.00°. The asymmetric unit holds Pm at (0.0000, 0.0000, 0.0000), Er at (0.0000, 0.0000, 0.4144) and Hf at (0.0000, 0.0000, 0.5000).

---

## NdDyBi (PBE-GGA)

Data for a relaxed structure of NdDyBi.

The value obtained for the calculated formation energy is -0.48 eV/atom.

The structure belongs to space group I4mm (No. 107); the cell edges are 4.1347, 4.1347 and 10.7581 Å and the angles 90.00°, 90.00° and 90.00°. The asymmetric unit holds Nd at (0.0000, 0.0000, 0.0000), Dy at (0.0000, 0.0000, 0.6877) and Bi at (0.0000, 0.0000, 0.3357).

---

## Ce3TlSe6 (PBE-GGA)

Data for a relaxed structure of Ce3TlSe6.

For the raw formation energy, the calculation gives -1470.5 meV/atom.

The structure belongs to space group Cmc2_1 (No. 36); the cell edges are 11.1549, 13.8490 and 7.4746 Å and the angles 90.00°, 90.00° and 90.00°. The asymmetric unit holds Ce at (0.0000, 0.1002, 0.0000), Ce at (0.1846, 0.3975, 0.9016), Tl at (0.0000, 0.3104, 0.3875), Se at (0.0000, 0.2701, 0.7886), Se at (0.0000, 0.4881, 0.1383), Se at (0.1613, 0.0344, 0.7055) and Se at (0.1942, 0.2227, 0.1370).

---

## InAuBr4 (PBE-GGA)

Data for a relaxed structure of InAuBr4.

For the raw formation energy, the calculation gives -496.6 meV/atom.

The structure belongs to space group I-4 (No. 82); the cell edges are 6.3177, 6.3177 and 11.2674 Å and the angles 90.00°, 90.00° and 90.00°. The asymmetric unit holds In at (0.0000, 0.0000, 0.0000), Au at (0.0000, 0.5000, 0.7500) and Br at (0.2270, 0.2471, 0.1280).

---

no.,ρ (g cm⁻³)
1,10.580
2,10.844
3,12.192
4,4.318
5,9.417
6,9.312
7,6.319
8,4.663